Entry 1:
HfRh2S | PBE-GGA | optimized geometry

Lattice parameters (Å, degrees): 4.9630 4.9630 13.1267 90.00 90.00 90.00
With the nearest neighbours (Å) after each atom.
Space group I-42d (No. 122)
Symmetry-distinct sites (fractional):
1 Hf 0.0000 0.0000 0.0000 x4  4 Rh 2.60
2 Rh 0.1783 0.2500 0.6250 x8  2 S 2.24
3 S 0.0000 0.0000 0.5000 x4  4 Rh 2.24

Output
Raw total energy   -119.75 eV/cell
Size of the total moment   0.00 μB/f.u.
Uncorrected formation energy   -0.288 eV per atom

---

Entry 2:
Hf2RhS4 | PBE-GGA | optimized geometry

Lattice parameters (Å, degrees): 4.5573 4.5573 12.9938 90.00 90.00 90.00
With the nearest neighbours (Å) after each atom.
Space group I4/mmm (No. 139)
Symmetry-distinct sites (fractional):
1 Hf 0.0000 0.0000 0.1185 x4  1 S 2.45
2 Rh 0.0000 0.0000 0.5000 x2  6 S 2.28-2.51
3 S 0.0000 0.0000 0.3071 x4  1 Hf 2.45, 1 Rh 2.51
4 S 0.0000 0.5000 0.0000 x4  2 Rh 2.28

Output
Raw total energy   -94.37 eV/cell
Size of the total moment   0.00 μB/f.u.
Uncorrected formation energy   -0.488 eV per atom

---

Entry 3:
Hf2RhS | PBE-GGA | optimized geometry

Lattice parameters (Å, degrees): 5.8471 5.8471 11.5179 90.00 90.00 90.00
With the nearest neighbours (Å) after each atom.
Space group I-42d (No. 122)
Symmetry-distinct sites (fractional):
1 Hf 0.2495 0.2500 0.1250 x8  2 S 2.52, 2 Rh 2.52
2 Rh 0.0000 0.0000 0.5000 x4  4 Hf 2.52
3 S 0.0000 0.0000 0.0000 x4  4 Hf 2.52

Output
Raw total energy   -131.48 eV/cell
Size of the total moment   0.00 μB/f.u.
Uncorrected formation energy   -0.371 eV per atom

---

Entry 4:
Hf8RhS2 | PBE-GGA | optimized geometry

Lattice parameters (Å, degrees): 11.0590 9.0055 4.9113 90.00 91.14 90.00
With the nearest neighbours (Å) after each atom.
Space group C2/m (No. 12)
Symmetry-distinct sites (fractional):
1 Hf 0.0923 0.0000 0.2601 x4  1 S 2.57
2 Hf 0.1000 0.2384 0.7523 x8  1 S 2.50
3 Hf 0.2044 0.5000 0.2619 x4  2 S 2.42-2.54, 1 Rh 2.57
4 Rh 0.0000 0.5000 0.5000 x2  2 S 2.34, 2 Hf 2.57
5 S 0.1759 0.5000 0.7728 x4  1 Rh 2.34, 5 Hf 2.42-2.57

Output
Raw total energy   -195.42 eV/cell
Size of the total moment   0.00 μB/f.u.
Uncorrected formation energy   -0.225 eV per atom

---

Entry 5:
HfSbRh3 | PBE-GGA | optimized geometry

Lattice parameters (Å, degrees): 4.7403 4.7403 4.7403 90.00 90.00 90.00
With the nearest neighbours (Å) after each atom.
Space group Pm-3m (No. 221)
Symmetry-distinct sites (fractional):
1 Hf 0.0000 0.0000 0.0000 x1  12 Rh 3.35
2 Sb 0.5000 0.5000 0.5000 x1  6 Rh 2.37
3 Rh 0.0000 0.5000 0.5000 x3  2 Sb 2.37

Output
Raw total energy   -33.15 eV/cell
Size of the total moment   0.00 μB/f.u.
Excess energy over the best structure of this formula in the dataset   0.00 eV/f.u.
Uncorrected formation energy   0.596 eV per atom

---

Entry 6:
Hf6SbRh | PBE-GGA | optimized geometry

Lattice parameters (Å, degrees): 6.7920 7.6256 7.1409 90.00 114.54 90.00
With the nearest neighbours (Å) after each atom.
Space group C2/m (No. 12)
Symmetry-distinct sites (fractional):
1 Hf 0.1117 0.2338 0.2594 x8  1 Rh 2.79, 2 Sb 2.95-3.05, 4 Hf 3.03-3.11
2 Hf 0.2258 0.5000 0.0049 x4  9 Hf 3.03-3.11, 1 Rh 3.24, 1 Sb 3.28
3 Sb 0.0000 0.5000 0.5000 x2  10 Hf 2.95-3.28
4 Rh 0.0000 0.0000 0.5000 x2  4 Hf 2.79

Output
Raw total energy   -146.14 eV/cell
Size of the total moment   0.00 μB/f.u.
Uncorrected formation energy   -0.235 eV per atom

---

Entry 7:
Hf2Sb2Rh | PBE-GGA | optimized geometry

Lattice parameters (Å, degrees): 7.1718 7.1718 4.0855 90.00 90.00 90.00
With the nearest neighbours (Å) after each atom.
Space group P4/mbm (No. 127)
Symmetry-distinct sites (fractional):
1 Hf 0.1523 0.3477 0.0000 x4  6 Sb 2.84-2.99, 1 Hf 3.09
2 Sb 0.1528 0.6528 0.5000 x4  2 Rh 2.72, 6 Hf 2.84-2.99
3 Rh 0.0000 0.0000 0.5000 x2  4 Sb 2.72

Output
Raw total energy   -73.76 eV/cell
Size of the total moment   0.00 μB/f.u.
Uncorrected formation energy   -0.275 eV per atom

---

Entry 8:
Hf12Sb6Rh | PBE-GGA | optimized geometry

Lattice parameters (Å, degrees): 12.4163 12.4163 10.4399 90.00 90.00 120.00
With the nearest neighbours (Å) after each atom.
Space group R-3 (No. 148, hexagonal axes)
Symmetry-distinct sites (fractional):
1 Hf 0.0227 0.1607 0.3719 x18  4 Sb 2.87-3.11, 1 Hf 3.09
2 Hf 0.0747 0.2028 0.8803 x18  1 Rh 2.53
3 Sb 0.0289 0.2867 0.6320 x18  7 Hf 2.87-3.11
4 Rh 0.0000 0.0000 0.0000 x3  6 Hf 2.53

Output
Raw total energy   -461.04 eV/cell
Size of the total moment   0.00 μB/f.u.
Uncorrected formation energy   -0.113 eV per atom

---

Entry 9:
HfSbRh3 | PBE-GGA | optimized geometry

Lattice parameters (Å, degrees): 4.7896 4.7896 4.7896 90.00 90.00 90.00
With the nearest neighbours (Å) after each atom.
Space group Pm-3m (No. 221)
Symmetry-distinct sites (fractional):
1 Hf 0.0000 0.0000 0.0000 x1  6 Rh 2.39
2 Sb 0.5000 0.5000 0.5000 x1  12 Rh 3.39
3 Rh 0.0000 0.0000 0.5000 x3  2 Hf 2.39

Output
Raw total energy   -33.03 eV/cell
Size of the total moment   0.00 μB/f.u.
Excess energy over the best structure of this formula in the dataset   0.12 eV/f.u.
Uncorrected formation energy   0.620 eV per atom

---

Entry 10:
Hf8Sb2Rh | PBE-GGA | optimized geometry

Lattice parameters (Å, degrees): 18.1578 4.7132 5.8579 90.00 105.60 90.00
With the nearest neighbours (Å) after each atom.
Space group C2/m (No. 12)
Symmetry-distinct sites (fractional):
1 Hf 0.0205 0.0000 0.2638 x4  2 Rh 2.81, 1 Sb 2.92, 2 Hf 2.98-3.05
2 Hf 0.0880 0.5000 0.0095 x4  1 Rh 2.98, 8 Hf 3.07-3.21, 2 Sb 3.11
3 Hf 0.1464 0.5000 0.5532 x4  1 Rh 2.59
4 Hf 0.2295 0.0000 0.8432 x4  4 Sb 2.94-3.14, 5 Hf 2.96-3.19
5 Sb 0.1829 0.0000 0.2865 x4  10 Hf 2.92-3.14
6 Rh 0.0000 0.5000 0.5000 x2  6 Hf 2.59-2.81

Output
Raw total energy   -195.52 eV/cell
Size of the total moment   0.00 μB/f.u.
Uncorrected formation energy   -0.231 eV per atom

---

Entry 11:
HfSbRh | PBE-GGA | optimized geometry

Lattice parameters (Å, degrees): 4.5455 4.5455 3.1481 90.00 90.00 120.00
With the nearest neighbours (Å) after each atom.
Space group P-6m2 (No. 187)
Symmetry-distinct sites (fractional):
1 Hf 0.0000 0.0000 0.0000 x1  6 Sb 3.06, 6 Rh 3.06, 2 Hf 3.15
2 Sb 0.6667 0.3333 0.5000 x1  3 Rh 2.62
3 Rh 0.3333 0.6667 0.5000 x1  3 Sb 2.62

Output
Raw total energy   -23.33 eV/cell
Size of the total moment   0.00 μB/f.u.
Uncorrected formation energy   -0.634 eV per atom

---

Entry 12:
Hf2SbRh2 | PBE-GGA | optimized geometry

Lattice parameters (Å, degrees): 7.5749 7.5749 3.2684 90.00 90.00 90.00
With the nearest neighbours (Å) after each atom.
Space group P4/mbm (No. 127)
Symmetry-distinct sites (fractional):
1 Hf 0.1620 0.3380 0.0000 x4  6 Rh 2.75-2.77
2 Sb 0.0000 0.0000 0.5000 x2  4 Rh 2.96, 2 Sb 3.27, 8 Hf 3.28
3 Rh 0.1321 0.6321 0.5000 x4  6 Hf 2.75-2.77, 1 Rh 2.83, 2 Sb 2.96

Output
Raw total energy   -85.01 eV/cell
Size of the total moment   0.00 μB/f.u.
Excess energy over the best structure of this formula in the dataset   0.00 eV/f.u.
Uncorrected formation energy   -0.754 eV per atom

---

Entry 13:
Hf2SbRh2 | PBE-GGA | optimized geometry

Lattice parameters (Å, degrees): 4.4346 4.4346 10.7664 90.00 90.00 90.00
With the nearest neighbours (Å) after each atom.
Space group I4/mmm (No. 139)
Symmetry-distinct sites (fractional):
1 Hf 0.0000 0.5000 0.2500 x4  4 Rh 2.63
2 Sb 0.0000 0.0000 0.0000 x2  8 Rh 3.38, 8 Hf 3.49
3 Rh 0.0000 0.0000 0.3818 x4  1 Rh 2.55, 4 Hf 2.63

Output
Raw total energy   -82.22 eV/cell
Size of the total moment   0.00 μB/f.u.
Excess energy over the best structure of this formula in the dataset   1.39 eV/f.u.
Uncorrected formation energy   -0.476 eV per atom